The following is a PBE-GGA calculation of an optimized crystal structure of Pm12Si5Hg2, from the Alexandria database.

The structure in POSCAR format:
```
Pm12Si5Hg2
1.0
-4.841 5.253 -1.262
-2.734 -5.980 6.447
5.312 6.142 5.184
Pm Si Hg
12 5 2
Direct
0.043 0.086 0.805
0.489 0.978 0.705
0.957 0.914 0.195
0.561 0.637 0.890
0.924 0.363 0.110
0.511 0.022 0.295
0.604 0.700 0.439
0.097 0.700 0.439
0.903 0.300 0.561
0.396 0.300 0.561
0.076 0.637 0.890
0.439 0.363 0.110
0.702 0.403 0.358
0.671 0.342 0.825
0.000 0.000 0.500
0.298 0.597 0.642
0.329 0.658 0.175
0.299 0.000 0.000
0.701 0.000 0.000
```

## Properties
Mass density: 6.6 g/cm3
Symmetry: C2/m (12)
ΔE_f (raw): -301 meV per atom

=====

The following is a PBE-GGA calculation of an optimized crystal structure of LiCaMg2H, from the Alexandria database.

The structure in POSCAR format:
```
LiCaMg2H
1.0
4.685 0.000 0.000
0.000 4.685 0.000
0.000 0.000 4.714
Mg H Li Ca
2 1 1 1
Direct
0.000 0.500 0.000
0.500 0.000 0.000
0.000 0.000 0.000
0.500 0.500 0.500
0.000 0.000 0.500
```

## Properties
Uncorrected energy: -2.1434 eV per atom
Mass density: 1.6 g/cm3
Symmetry: P4/mmm (123)

=====

The following is a PBE-GGA calculation of an optimized crystal structure of Tl3AuO6, from the Alexandria database.

The structure in POSCAR format:
```
Tl3AuO6
1.0
5.649 0.000 0.000
0.000 7.254 0.103
0.000 -1.518 7.094
O Tl Au
12 6 2
Direct
0.164 0.359 0.319
0.191 0.403 0.888
0.806 0.960 0.040
0.691 0.888 0.403
0.191 0.112 0.597
0.666 0.208 0.792
0.691 0.597 0.112
0.664 0.319 0.359
0.166 0.792 0.208
0.306 0.040 0.960
0.164 0.681 0.641
0.664 0.641 0.681
0.397 0.397 0.603
0.964 0.094 0.344
0.464 0.906 0.656
0.897 0.603 0.397
0.964 0.656 0.906
0.464 0.344 0.094
0.478 0.875 0.125
0.978 0.125 0.875
```

## Properties
Mass density: 10.3 g/cm3
Symmetry: Cmc2_1 (36)
ΔE_f (raw): -391 meV per atom